No. 1
The following is a DFT calculation (PBE-GGA) of an optimized crystal structure of VS2.

abc: 3.1872 3.1872 13.2433
angles: 83.09 89.92 60.00
With the nearest neighbours (Å) after each atom.
Positions (direct):
1 V 0.0795 0.3374 0.2474  6 S 2.35-2.36
2 V 0.9205 0.6626 0.7526  6 S 2.35-2.36
3 S 0.2174 0.0702 0.6405  3 V 2.35-2.36
4 S 0.3763 0.7450 0.1354  3 V 2.35
5 S 0.6237 0.2550 0.8646  3 V 2.35
6 S 0.7826 0.9298 0.3595  3 V 2.35-2.36

- Space group: P-1 (2)
- Formation energy from raw total energies: -0.842 eV per atom
- Spin magnetization: 0.567 μB per formula unit
- Total DFT energy (no corrections): -39.80 eV for the cell shown

No. 2
The following is a DFT calculation (PBE-GGA) of an optimized crystal structure of V3S.

abc: 9.3326 9.3326 4.6360
angles: 90.00 90.00 90.00
With the nearest neighbours (Å) after each atom.
Positions (direct):
1 V 0.0478 0.0478 0.2500  2 S 2.36, 4 V 2.62-2.64
2 V 0.0478 0.4522 0.7500  2 S 2.36, 4 V 2.62-2.64
3 V 0.1029 0.7500 0.0000  4 S 2.39, 2 V 2.62
4 V 0.1599 0.1599 0.7500  2 S 2.36, 1 V 2.38
5 V 0.1599 0.3401 0.2500  2 S 2.36, 1 V 2.38
6 V 0.2500 0.6029 0.5000  4 S 2.39, 2 V 2.62
7 V 0.2500 0.8971 0.5000  4 S 2.39, 2 V 2.62
8 V 0.3401 0.1599 0.2500  2 S 2.36, 1 V 2.38
9 V 0.3401 0.3401 0.7500  2 S 2.36, 1 V 2.38
10 V 0.3971 0.7500 0.0000  4 S 2.39, 2 V 2.62
11 V 0.4522 0.0478 0.7500  2 S 2.36, 4 V 2.62-2.64
12 V 0.4522 0.4522 0.2500  2 S 2.36, 4 V 2.62-2.64
13 V 0.5478 0.5478 0.7500  2 S 2.36, 4 V 2.62-2.64
14 V 0.5478 0.9522 0.2500  2 S 2.36, 4 V 2.62-2.64
15 V 0.6029 0.2500 0.0000  4 S 2.39, 2 V 2.62
16 V 0.6599 0.6599 0.2500  2 S 2.36, 1 V 2.38
17 V 0.6599 0.8401 0.7500  2 S 2.36, 1 V 2.38
18 V 0.7500 0.1029 0.5000  4 S 2.39, 2 V 2.62
19 V 0.7500 0.3971 0.5000  4 S 2.39, 2 V 2.62
20 V 0.8401 0.6599 0.7500  2 S 2.36, 1 V 2.38
21 V 0.8401 0.8401 0.2500  2 S 2.36, 1 V 2.38
22 V 0.8971 0.2500 0.0000  4 S 2.39, 2 V 2.62
23 V 0.9522 0.5478 0.2500  2 S 2.36, 4 V 2.62-2.64
24 V 0.9522 0.9522 0.7500  2 S 2.36, 4 V 2.62-2.64
25 S 0.0406 0.7500 0.5000  8 V 2.36-2.39
26 S 0.2500 0.5406 0.0000  8 V 2.36-2.39
27 S 0.2500 0.9594 0.0000  8 V 2.36-2.39
28 S 0.4594 0.7500 0.5000  8 V 2.36-2.39
29 S 0.5406 0.2500 0.5000  8 V 2.36-2.39
30 S 0.7500 0.0406 0.0000  8 V 2.36-2.39
31 S 0.7500 0.4594 0.0000  8 V 2.36-2.39
32 S 0.9594 0.2500 0.5000  8 V 2.36-2.39

- Space group: P4_2/nbc (133)
- Energy above the lowest structure with this stoichiometry: 0.000 eV per atom
- Formation energy from raw total energies: -0.546 eV per atom
- Spin magnetization: 0.000 μB per formula unit
- Total DFT energy (no corrections): -269.33 eV for the cell shown

No. 3
The following is a DFT calculation (PBE-GGA) of an optimized crystal structure of VS4.

abc: 4.5289 4.5289 4.5289
angles: 90.00 90.00 90.00
With the nearest neighbours (Å) after each atom.
Positions (direct):
1 V 0.0000 0.0000 0.0000  6 S 2.26
2 S 0.0000 0.0000 0.5000  2 V 2.26
3 S 0.0000 0.5000 0.0000  2 V 2.26
4 S 0.5000 0.0000 0.0000  2 V 2.26
5 S 0.5000 0.5000 0.5000  12 S 3.20

- Space group: Pm-3m (221)
- Formation energy from raw total energies: 0.312 eV per atom
- Spin magnetization: 0.000 μB per formula unit
- Total DFT energy (no corrections): -24.07 eV for the cell shown

No. 4
The following is a DFT calculation (PBE-GGA) of an optimized crystal structure of VS.

abc: 3.1656 3.1656 6.1286
angles: 90.00 90.00 120.00
With the nearest neighbours (Å) after each atom.
Positions (direct):
1 V 0.0000 0.0000 0.0000  6 S 2.38
2 V 0.0000 0.0000 0.5000  6 S 2.38
3 S 0.3333 0.6667 0.2500  6 V 2.38
4 S 0.6667 0.3333 0.7500  6 V 2.38

- Space group: P6_3/mmc (194)
- Formation energy from raw total energies: -0.884 eV per atom
- Spin magnetization: 0.000 μB per formula unit
- Total DFT energy (no corrections): -30.03 eV for the cell shown

No. 5
The following is a DFT calculation (PBE-GGA) of an optimized crystal structure of VS2.

abc: 3.1871 3.1871 12.8642
angles: 90.00 90.00 120.00
With the nearest neighbours (Å) after each atom.
Positions (direct):
1 V 0.1741 0.8259 0.5000  6 S 2.35-2.36
2 V 0.8259 0.1741 0.0000  6 S 2.35-2.36
3 S 0.1593 0.8407 0.1143  3 V 2.35-2.36
4 S 0.4926 0.5074 0.8857  3 V 2.36
5 S 0.5074 0.4926 0.3857  3 V 2.36
6 S 0.8407 0.1593 0.6143  3 V 2.35-2.36

- Space group: Cmc2_1 (36)
- Formation energy from raw total energies: -0.856 eV per atom
- Spin magnetization: 0.533 μB per formula unit
- Total DFT energy (no corrections): -39.88 eV for the cell shown

No. 6
The following is a DFT calculation (PBE-GGA) of an optimized crystal structure of VS.

abc: 6.7927 6.7927 6.7927
angles: 93.61 93.61 150.92
With the nearest neighbours (Å) after each atom.
Positions (direct):
1 V 0.1435 0.6898 0.8333  4 S 2.24-2.27
2 V 0.3102 0.1435 0.4536  4 S 2.24-2.27
3 V 0.6898 0.8565 0.5464  4 S 2.24-2.27
4 V 0.8565 0.3102 0.1667  4 S 2.24-2.27
5 S 0.0865 0.2334 0.3199  4 V 2.24-2.27
6 S 0.2334 0.9135 0.1469  4 V 2.24-2.27
7 S 0.7666 0.0865 0.8531  4 V 2.24-2.27
8 S 0.9135 0.7666 0.6801  4 V 2.24-2.27

- Space group: I4/m (87)
- Formation energy from raw total energies: -0.654 eV per atom
- Spin magnetization: 0.000 μB per formula unit
- Total DFT energy (no corrections): -58.21 eV for the cell shown